[1]
# BeAlPb2 | Alexandria via LeMat-Bulk | PBE-GGA | relaxed
data_BeAlPb2
_space_group_name_H-M_alt 'P 1'
_space_group_IT_number 1
_cell_length_a 3.468
_cell_length_b 3.468
_cell_length_c 8.037
_cell_angle_alpha 90.00
_cell_angle_beta 90.00
_cell_angle_gamma 93.16
loop_
_space_group_symop_operation_xyz
'x,y,z'
loop_
_atom_site_label
_atom_site_type_symbol
_atom_site_fract_x
_atom_site_fract_y
_atom_site_fract_z
Be1 Be 0.000 0.000 0.000
Al1 Al 0.500 0.500 0.128
Pb1 Pb 0.000 0.000 0.357
Pb2 Pb 0.500 0.500 0.777
# Relative energy among the computed polymorphs   32.5 meV/atom
# Calculated volume   96.5 Å³ per cell
# SG   Cmm2, No. 35
# Formation energy   0.3465 eV/atom

***

[2]
# TiGaIO2 | Alexandria via LeMat-Bulk | PBE-GGA | relaxed
data_TiGaIO2
_space_group_name_H-M_alt 'P 1'
_space_group_IT_number 1
_cell_length_a 3.985
_cell_length_b 3.985
_cell_length_c 5.773
_cell_angle_alpha 90.00
_cell_angle_beta 90.00
_cell_angle_gamma 90.00
loop_
_space_group_symop_operation_xyz
'x,y,z'
loop_
_atom_site_label
_atom_site_type_symbol
_atom_site_fract_x
_atom_site_fract_y
_atom_site_fract_z
Ti1 Ti 0.000 0.000 0.000
Ga1 Ga 0.500 0.500 0.500
I1 I 0.000 0.000 0.500
O1 O 0.000 0.500 0.000
O2 O 0.500 0.000 0.000
# Relative energy among the computed polymorphs   0.0 meV/atom
# Formation energy (no corrections)   -612 kJ/mol of formula units
# Calculated volume   91.7 Å³ per cell
# SG   P4/mmm, No. 123

***

[3]
# Li4TlHg5 | Alexandria via LeMat-Bulk | PBE-GGA | relaxed
data_Li4TlHg5
_space_group_name_H-M_alt 'P 1'
_space_group_IT_number 1
_cell_length_a 3.389
_cell_length_b 3.389
_cell_length_c 17.835
_cell_angle_alpha 90.00
_cell_angle_beta 90.00
_cell_angle_gamma 90.00
loop_
_space_group_symop_operation_xyz
'x,y,z'
loop_
_atom_site_label
_atom_site_type_symbol
_atom_site_fract_x
_atom_site_fract_y
_atom_site_fract_z
Li1 Li 0.000 0.000 0.093
Li2 Li 0.000 0.000 0.275
Li3 Li 0.000 0.000 0.725
Li4 Li 0.000 0.000 0.907
Tl1 Tl 0.000 0.000 0.500
Hg1 Hg 0.500 0.500 0.000
Hg2 Hg 0.500 0.500 0.182
Hg3 Hg 0.500 0.500 0.365
Hg4 Hg 0.500 0.500 0.635
Hg5 Hg 0.500 0.500 0.818
# Calculated volume   204.8 Å³ per cell
# SG   P4/mmm, No. 123
# Formation energy   -0.2989 eV/atom

***

[4]
# TbCeOsRh | Alexandria via LeMat-Bulk | PBE-GGA | relaxed
data_TbCeOsRh
_space_group_name_H-M_alt 'P 1'
_space_group_IT_number 1
_cell_length_a 4.885
_cell_length_b 4.885
_cell_length_c 4.885
_cell_angle_alpha 60.00
_cell_angle_beta 60.00
_cell_angle_gamma 60.00
loop_
_space_group_symop_operation_xyz
'x,y,z'
loop_
_atom_site_label
_atom_site_type_symbol
_atom_site_fract_x
_atom_site_fract_y
_atom_site_fract_z
Tb1 Tb 0.000 0.000 0.000
Ce1 Ce 0.500 0.500 0.500
Os1 Os 0.750 0.750 0.750
Rh1 Rh 0.250 0.250 0.250
# Calculated volume   82.4 Å³ per cell
# SG   F-43m, No. 216
# Formation energy   -0.4335 eV/atom

***

[5]
# ZnMoSe2 | Alexandria via LeMat-Bulk | PBE-GGA | relaxed
data_ZnMoSe2
_space_group_name_H-M_alt 'P 1'
_space_group_IT_number 1
_cell_length_a 8.385
_cell_length_b 8.385
_cell_length_c 8.385
_cell_angle_alpha 23.24
_cell_angle_beta 23.24
_cell_angle_gamma 23.24
loop_
_space_group_symop_operation_xyz
'x,y,z'
loop_
_atom_site_label
_atom_site_type_symbol
_atom_site_fract_x
_atom_site_fract_y
_atom_site_fract_z
Zn1 Zn 0.000 0.000 0.000
Mo1 Mo 0.500 0.500 0.500
Se1 Se 0.401 0.401 0.401
Se2 Se 0.599 0.599 0.599
# Formation energy (no corrections)   151 kJ/mol of formula units
# Calculated volume   80.6 Å³ per cell
# SG   R-3m, No. 166

***

[6]
# PuUCl5 | Alexandria via LeMat-Bulk | PBE-GGA | relaxed
data_PuUCl5
_space_group_name_H-M_alt 'P 1'
_space_group_IT_number 1
_cell_length_a 8.017
_cell_length_b 3.909
_cell_length_c 13.068
_cell_angle_alpha 90.00
_cell_angle_beta 94.15
_cell_angle_gamma 90.00
loop_
_space_group_symop_operation_xyz
'x,y,z'
loop_
_atom_site_label
_atom_site_type_symbol
_atom_site_fract_x
_atom_site_fract_y
_atom_site_fract_z
Pu1 Pu 0.092 0.250 0.145
Pu2 Pu 0.908 0.750 0.855
U1 U 0.421 0.750 0.346
U2 U 0.579 0.250 0.654
Cl1 Cl 0.073 0.750 0.307
Cl2 Cl 0.144 0.250 0.930
Cl3 Cl 0.319 0.250 0.486
Cl4 Cl 0.349 0.750 0.131
Cl5 Cl 0.365 0.750 0.712
Cl6 Cl 0.635 0.250 0.288
Cl7 Cl 0.651 0.250 0.869
Cl8 Cl 0.681 0.750 0.514
Cl9 Cl 0.856 0.750 0.070
Cl10 Cl 0.927 0.250 0.693
# Formation energy (no corrections)   -1169 kJ/mol of formula units
# Calculated volume   408.4 Å³ per cell
# SG   P2_1/m, No. 11

***

[7]
# Ac2CeThBi4 | Alexandria via LeMat-Bulk | PBE-GGA | relaxed
data_Ac2CeThBi4
_space_group_name_H-M_alt 'P 1'
_space_group_IT_number 1
_cell_length_a 8.192
_cell_length_b 4.731
_cell_length_c 8.223
_cell_angle_alpha 90.00
_cell_angle_beta 109.37
_cell_angle_gamma 90.00
loop_
_space_group_symop_operation_xyz
'x,y,z'
loop_
_atom_site_label
_atom_site_type_symbol
_atom_site_fract_x
_atom_site_fract_y
_atom_site_fract_z
Ac1 Ac 0.000 0.000 0.000
Ac2 Ac 0.500 0.500 0.000
Ce1 Ce 0.000 0.500 0.500
Th1 Th 0.500 0.000 0.500
Bi1 Bi 0.245 0.000 0.733
Bi2 Bi 0.256 0.500 0.267
Bi3 Bi 0.744 0.500 0.733
Bi4 Bi 0.755 0.000 0.267
# Calculated volume   300.7 Å³ per cell
# SG   P2/m, No. 10
# Formation energy   -0.8470 eV/atom

***

[8]
# K3VSe | Alexandria via LeMat-Bulk | PBE-GGA | relaxed
data_K3VSe
_space_group_name_H-M_alt 'P 1'
_space_group_IT_number 1
_cell_length_a 6.302
_cell_length_b 6.302
_cell_length_c 6.302
_cell_angle_alpha 90.00
_cell_angle_beta 90.00
_cell_angle_gamma 90.00
loop_
_space_group_symop_operation_xyz
'x,y,z'
loop_
_atom_site_label
_atom_site_type_symbol
_atom_site_fract_x
_atom_site_fract_y
_atom_site_fract_z
K1 K 0.000 0.000 0.500
K2 K 0.000 0.500 0.000
K3 K 0.500 0.000 0.000
V1 V 0.500 0.500 0.500
Se1 Se 0.000 0.000 0.000
# Relative energy among the computed polymorphs   0.0 meV/atom
# Formation energy (no corrections)   105 kJ/mol of formula units
# Calculated volume   250.3 Å³ per cell
# SG   Pm-3m, No. 221

***

[9]
# LaNdPdAu | Alexandria via LeMat-Bulk | PBE-GGA | relaxed
data_LaNdPdAu
_space_group_name_H-M_alt 'P 1'
_space_group_IT_number 1
_cell_length_a 4.718
_cell_length_b 5.979
_cell_length_c 5.979
_cell_angle_alpha 38.54
_cell_angle_beta 90.00
_cell_angle_gamma 90.00
loop_
_space_group_symop_operation_xyz
'x,y,z'
loop_
_atom_site_label
_atom_site_type_symbol
_atom_site_fract_x
_atom_site_fract_y
_atom_site_fract_z
La1 La 0.000 0.000 0.000
Nd1 Nd 0.500 0.273 0.273
Pd1 Pd 0.500 0.549 0.549
Au1 Au 0.000 0.722 0.722
# Relative energy among the computed polymorphs   0.0 meV/atom
# Calculated volume   105.1 Å³ per cell
# SG   Amm2, No. 38
# Formation energy   -0.8135 eV/atom

***

[10]
# Tb4Sm3Y5 | Alexandria via LeMat-Bulk | PBE-GGA | relaxed
data_Tb4Sm3Y5
_space_group_name_H-M_alt 'P 1'
_space_group_IT_number 1
_cell_length_a 6.200
_cell_length_b 7.165
_cell_length_c 8.768
_cell_angle_alpha 90.05
_cell_angle_beta 90.11
_cell_angle_gamma 90.17
loop_
_space_group_symop_operation_xyz
'x,y,z'
loop_
_atom_site_label
_atom_site_type_symbol
_atom_site_fract_x
_atom_site_fract_y
_atom_site_fract_z
Tb1 Tb 0.167 0.000 0.166
Tb2 Tb 0.333 0.249 0.833
Tb3 Tb 0.667 0.751 0.167
Tb4 Tb 0.833 0.000 0.834
Sm1 Sm 0.334 0.751 0.833
Sm2 Sm 0.500 0.500 0.500
Sm3 Sm 0.666 0.249 0.167
Y1 Y 0.001 0.250 0.500
Y2 Y 0.167 0.500 0.167
Y3 Y 0.500 0.000 0.500
Y4 Y 0.833 0.500 0.833
Y5 Y 0.999 0.750 0.500
# Relative energy among the computed polymorphs   0.0 meV/atom
# Calculated volume   389.5 Å³ per cell
# SG   P-1, No. 2
# Formation energy   0.0167 eV/atom

***

[11]
# BaTlHg2 | Alexandria via LeMat-Bulk | PBE-GGA | relaxed
data_BaTlHg2
_space_group_name_H-M_alt 'P 1'
_space_group_IT_number 1
_cell_length_a 4.211
_cell_length_b 4.827
_cell_length_c 6.859
_cell_angle_alpha 90.00
_cell_angle_beta 105.91
_cell_angle_gamma 90.00
loop_
_space_group_symop_operation_xyz
'x,y,z'
loop_
_atom_site_label
_atom_site_type_symbol
_atom_site_fract_x
_atom_site_fract_y
_atom_site_fract_z
Ba1 Ba 0.000 0.000 0.000
Tl1 Tl 0.295 0.500 0.646
Hg1 Hg 0.605 0.500 0.213
Hg2 Hg 0.666 0.000 0.474
# Relative energy among the computed polymorphs   96.6 meV/atom
# Calculated volume   134.1 Å³ per cell
# SG   Pm, No. 6
# Formation energy   -0.3011 eV/atom

***

[12]
# La2Sm6Sc | Alexandria via LeMat-Bulk | PBE-GGA | relaxed
data_La2Sm6Sc
_space_group_name_H-M_alt 'P 1'
_space_group_IT_number 1
_cell_length_a 10.099
_cell_length_b 10.099
_cell_length_c 3.441
_cell_angle_alpha 90.00
_cell_angle_beta 90.00
_cell_angle_gamma 120.00
loop_
_space_group_symop_operation_xyz
'x,y,z'
loop_
_atom_site_label
_atom_site_type_symbol
_atom_site_fract_x
_atom_site_fract_y
_atom_site_fract_z
La1 La 0.333 0.667 0.000
La2 La 0.667 0.333 0.000
Sm1 Sm 0.000 0.317 0.248
Sm2 Sm 0.000 0.683 0.752
Sm3 Sm 0.317 0.000 0.248
Sm4 Sm 0.317 0.317 0.752
Sm5 Sm 0.683 0.000 0.752
Sm6 Sm 0.683 0.683 0.248
Sc1 Sc 0.000 0.000 0.500
# Relative energy among the computed polymorphs   77.1 meV/atom
# Calculated volume   303.9 Å³ per cell
# SG   P-31m, No. 162
# Formation energy   0.1544 eV/atom

***

[13]
# La3CeTh2N6 | Alexandria via LeMat-Bulk | PBE-GGA | relaxed
data_La3CeTh2N6
_space_group_name_H-M_alt 'P 1'
_space_group_IT_number 1
_cell_length_a 6.378
_cell_length_b 6.378
_cell_length_c 6.404
_cell_angle_alpha 99.56
_cell_angle_beta 99.56
_cell_angle_gamma 119.97
loop_
_space_group_symop_operation_xyz
'x,y,z'
loop_
_atom_site_label
_atom_site_type_symbol
_atom_site_fract_x
_atom_site_fract_y
_atom_site_fract_z
La1 La 0.000 0.000 0.000
La2 La 0.335 0.665 0.000
La3 La 0.665 0.335 0.000
Ce1 Ce 0.500 0.500 0.500
Th1 Th 0.167 0.833 0.500
Th2 Th 0.833 0.167 0.500
N1 N 0.093 0.424 0.273
N2 N 0.244 0.244 0.727
N3 N 0.424 0.093 0.273
N4 N 0.576 0.907 0.727
N5 N 0.756 0.756 0.273
N6 N 0.907 0.576 0.727
# Formation energy (no corrections)   -1719 kJ/mol of formula units
# Calculated volume   212.8 Å³ per cell
# SG   C2/m, No. 12